# RbScO2 PBE-GGA relaxed
# - energy relative to the elements, uncorrected (kcal/mol of atoms) = -32.5
# - DFT total energy (eV/atom) = -5.715
# - spin magnetization (μB/cell) = 0.00
data_RbScO2
_symmetry_space_group_name_H-M 'F m -3 m'
_symmetry_Int_Tables_number 225
_symmetry_space_group_name_Hall '-F 4 2 3'
_cell_length_a 6.017
_cell_length_b 6.017
_cell_length_c 6.017
_cell_angle_alpha 90.00
_cell_angle_beta 90.00
_cell_angle_gamma 90.00
loop_
_atom_site_label
_atom_site_fract_x
_atom_site_fract_y
_atom_site_fract_z
_atom_site_occupancy
Rb1 0.000 0.000 0.000 1
Sc1 0.000 0.000 0.500 1
O1 0.250 0.250 0.250 1


# RbScO2 PBE-GGA relaxed
# - energy relative to the elements, uncorrected (kcal/mol of atoms) = -55.5
# - DFT total energy (eV/atom) = -6.713
# - spin magnetization (μB/cell) = 0.00
data_RbScO2
_symmetry_space_group_name_H-M 'R 3 m'
_symmetry_Int_Tables_number 160
_symmetry_space_group_name_Hall 'R 3 -2"'
_cell_length_a 3.5861
_cell_length_b 3.5861
_cell_length_c 21.2685
_cell_angle_alpha 90.00
_cell_angle_beta 90.00
_cell_angle_gamma 120.00
loop_
_atom_site_label
_atom_site_fract_x
_atom_site_fract_y
_atom_site_fract_z
_atom_site_occupancy
Rb1 0.0000 0.0000 0.0000 1
Sc1 0.0000 0.0000 0.5064 1
O1 0.0000 0.0000 0.1447 1
O2 0.0000 0.0000 0.5921 1


# RbScO2 PBE-GGA relaxed
# - energy relative to the elements, uncorrected (kcal/mol of atoms) = -51.0
# - DFT total energy (eV/atom) = -6.515
# - spin magnetization (μB/cell) = 0.00
data_RbScO2
_symmetry_space_group_name_H-M 'I 41/a m d'
_symmetry_Int_Tables_number 141
_cell_length_a 5.108
_cell_length_b 5.108
_cell_length_c 9.969
_cell_angle_alpha 90.00
_cell_angle_beta 90.00
_cell_angle_gamma 90.00
loop_
_symmetry_equiv_pos_as_xyz
'x,y,z'
'-x,-y,-z'
'-y+1/4,x+3/4,z+1/4'
'y+1/4,-x+3/4,-z+1/4'
'-x+1/2,-y,z+1/2'
'x+1/2,y,-z+1/2'
'y+1/4,-x+1/4,z+3/4'
'-y+1/4,x+1/4,-z+3/4'
'x,-y,-z'
'-x,y,z'
'-y+1/4,-x+1/4,-z+3/4'
'y+1/4,x+1/4,z+3/4'
'-x+1/2,y,-z+1/2'
'x+1/2,-y,z+1/2'
'y+1/4,x+3/4,-z+1/4'
'-y+1/4,-x+3/4,z+1/4'
'x+1/2,y+1/2,z+1/2'
'-x+1/2,-y+1/2,-z+1/2'
'-y+3/4,x+1/4,z+3/4'
'y+3/4,-x+1/4,-z+3/4'
'-x,-y+1/2,z'
'x,y+1/2,-z'
'y+3/4,-x+3/4,z+1/4'
'-y+3/4,x+3/4,-z+1/4'
'x+1/2,-y+1/2,-z+1/2'
'-x+1/2,y+1/2,z+1/2'
'-y+3/4,-x+3/4,-z+1/4'
'y+3/4,x+3/4,z+1/4'
'-x,y+1/2,-z'
'x,-y+1/2,z'
'y+3/4,x+1/4,-z+3/4'
'-y+3/4,-x+1/4,z+3/4'
loop_
_atom_site_label
_atom_site_fract_x
_atom_site_fract_y
_atom_site_fract_z
_atom_site_occupancy
Rb1 0.000 0.250 0.375 1
Sc1 0.000 0.250 0.875 1
O1 0.000 0.250 0.076 1


# RbSc2O PBE-GGA relaxed
# - energy relative to the elements, uncorrected (kcal/mol of atoms) = -23.5
# - DFT total energy (eV/atom) = -5.667
# - spin magnetization (μB/cell) = 0.00
data_RbSc2O
_symmetry_space_group_name_H-M 'R -3 m'
_symmetry_Int_Tables_number 166
_symmetry_space_group_name_Hall '-R 3 2"'
_cell_length_a 3.3290
_cell_length_b 3.3290
_cell_length_c 28.3606
_cell_angle_alpha 90.00
_cell_angle_beta 90.00
_cell_angle_gamma 120.00
loop_
_atom_site_label
_atom_site_fract_x
_atom_site_fract_y
_atom_site_fract_z
_atom_site_occupancy
Rb1 0.0000 0.0000 0.0000 1
Sc1 0.0000 0.0000 0.1245 1
O1 0.0000 0.0000 0.5000 1


# RbScO2 PBE-GGA relaxed
# - energy relative to the elements, uncorrected (kcal/mol of atoms) = -62.3
# - DFT total energy (eV/atom) = -7.006
# - spin magnetization (μB/cell) = 0.00
data_RbScO2
_symmetry_space_group_name_H-M 'P n a 21'
_symmetry_Int_Tables_number 33
_cell_length_a 6.261
_cell_length_b 8.370
_cell_length_c 6.132
_cell_angle_alpha 90.00
_cell_angle_beta 90.00
_cell_angle_gamma 90.00
loop_
_symmetry_equiv_pos_as_xyz
'x,y,z'
'-x,-y,z+1/2'
'-x+1/2,y+1/2,z+1/2'
'x+1/2,-y+1/2,z'
loop_
_atom_site_label
_atom_site_fract_x
_atom_site_fract_y
_atom_site_fract_z
_atom_site_occupancy
Rb1 0.059 0.123 0.000 1
Sc1 0.050 0.626 0.985 1
O1 0.021 0.561 0.674 1
O2 0.146 0.189 0.537 1


# RbScO2 PBE-GGA relaxed
# - energy relative to the elements, uncorrected (kcal/mol of atoms) = -29.7
# - DFT total energy (eV/atom) = -5.593
# - spin magnetization (μB/cell) = 0.00
data_RbScO2
_symmetry_space_group_name_H-M 'P 4/m m m'
_symmetry_Int_Tables_number 123
_symmetry_space_group_name_Hall '-P 4 2'
_cell_length_a 4.264
_cell_length_b 4.264
_cell_length_c 3.064
_cell_angle_alpha 90.00
_cell_angle_beta 90.00
_cell_angle_gamma 90.00
loop_
_atom_site_label
_atom_site_fract_x
_atom_site_fract_y
_atom_site_fract_z
_atom_site_occupancy
Rb1 0.000 0.000 0.000 1
Sc1 0.500 0.500 0.000 1
O1 0.000 0.500 0.500 1


# RbScO2 PBE-GGA relaxed
# - energy relative to the elements, uncorrected (kcal/mol of atoms) = -36.2
# - DFT total energy (eV/atom) = -5.872
# - spin magnetization (μB/cell) = 0.00
data_RbScO2
_symmetry_space_group_name_H-M 'P 4/m m m'
_symmetry_Int_Tables_number 123
_symmetry_space_group_name_Hall '-P 4 2'
_cell_length_a 3.604
_cell_length_b 3.604
_cell_length_c 4.877
_cell_angle_alpha 90.00
_cell_angle_beta 90.00
_cell_angle_gamma 90.00
loop_
_atom_site_label
_atom_site_fract_x
_atom_site_fract_y
_atom_site_fract_z
_atom_site_occupancy
Rb1 0.000 0.000 0.000 1
Sc1 0.500 0.500 0.500 1
O1 0.000 0.000 0.500 1
O2 0.500 0.500 0.000 1


# RbScO2 PBE-GGA relaxed
# - energy relative to the elements, uncorrected (kcal/mol of atoms) = -56.7
# - DFT total energy (eV/atom) = -6.761
# - spin magnetization (μB/cell) = 0.00
data_RbScO2
_symmetry_space_group_name_H-M 'I 4/m c m'
_symmetry_Int_Tables_number 140
_symmetry_space_group_name_Hall '-I 4 2c'
_cell_length_a 7.061
_cell_length_b 7.061
_cell_length_c 5.979
_cell_angle_alpha 90.00
_cell_angle_beta 90.00
_cell_angle_gamma 90.00
loop_
_atom_site_label
_atom_site_fract_x
_atom_site_fract_y
_atom_site_fract_z
_atom_site_occupancy
Rb1 0.000 0.000 0.250 1
Sc1 0.000 0.500 0.250 1
O1 0.137 0.363 0.000 1